A plane-wave DFT calculation with PBE-GGA was carried out for a relaxed AgTe5 crystal.

Unit cell a=5.2977 b=13.9539 c=5.3029 alpha=90.00 beta=110.12 gamma=90.00
Space group P2_1/m (No. 11)
Unique sites:
Ag1 0.1244 0.2500 0.3741 [2 per cell]
Te1 0.1160 0.6008 0.3855 [4 per cell]
Te2 0.3646 0.1017 0.1336 [4 per cell]
Te3 0.3788 0.7500 0.1223 [2 per cell]

Raw formation energy: 0.00 eV/f.u.
Energy relative to the lowest polymorph listed for this composition: 0.000 eV per atom
E_tot: -3.093 eV per atom
DOS at the Fermi energy: 0.4469 states/eV per atom



A plane-wave DFT calculation with PBE-GGA was carried out for a relaxed CeIn2Bi5 crystal.

Unit cell a=8.3037 b=8.3037 c=7.0002 alpha=90.00 beta=90.00 gamma=90.00
Space group I4/mmm (No. 139)
Unique sites:
Ce1 0.0000 0.0000 0.0000 [2 per cell]
In1 0.0000 0.5000 0.0000 [4 per cell]
Bi1 0.0000 0.0000 0.5000 [2 per cell]
Bi2 0.2500 0.2500 0.2500 [8 per cell]

E_tot: -4.037 eV per atom
DOS at the Fermi energy: 0.8755 states/eV per atom
Formation energy from the elements: -17.9 kJ/mol of atoms



A plane-wave DFT calculation with PBE-GGA was carried out for a relaxed ScRu4 crystal.

Unit cell a=3.9375 b=3.9375 c=10.9428 alpha=90.00 beta=90.00 gamma=90.00
Space group I4/mmm (No. 139)
Unique sites:
Sc1 0.0000 0.0000 0.0000 [2 per cell]
Ru1 0.0000 0.0000 0.3955 [4 per cell]
Ru2 0.0000 0.5000 0.2500 [4 per cell]

Energy relative to the lowest polymorph listed for this composition: 0.000 eV per atom
E_tot: -8.593 eV per atom
DOS at the Fermi energy: 1.1494 states/eV per atom
Formation energy from the elements: 9.1 kJ/mol of atoms



A plane-wave DFT calculation with PBE-GGA was carried out for a relaxed NaSr6Tl5 crystal.

Unit cell a=5.8091 b=17.4572 c=8.3624 alpha=90.00 beta=90.00 gamma=90.00
Space group Cmmm (No. 65)
Unique sites:
Na1 0.0000 0.0000 0.0000 [2 per cell]
Sr1 0.0000 0.1711 0.2560 [8 per cell]
Sr2 0.0000 0.5000 0.2637 [4 per cell]
Tl1 0.0000 0.0000 0.5000 [2 per cell]
Tl2 0.0000 0.3349 0.5000 [4 per cell]
Tl3 0.0000 0.3359 0.0000 [4 per cell]

E_tot: -2.299 eV per atom
DOS at the Fermi energy: 0.7031 states/eV per atom
Formation energy from the elements: -34.9 kJ/mol of atoms



A plane-wave DFT calculation with PBE-GGA was carried out for a relaxed Ti7C2N2 crystal.

Unit cell a=3.0422 b=11.8403 c=7.1165 alpha=90.00 beta=90.00 gamma=90.00
Space group Imm2 (No. 44)
Unique sites:
Ti1 0.0000 0.0000 0.0000 [2 per cell]
Ti2 0.0000 0.1098 0.3806 [4 per cell]
Ti3 0.0000 0.3142 0.5845 [4 per cell]
Ti4 0.0000 0.3749 0.2083 [4 per cell]
C1 0.0000 0.0000 0.6639 [2 per cell]
C2 0.0000 0.5000 0.7183 [2 per cell]
N1 0.0000 0.2741 0.9287 [4 per cell]

Raw formation energy: -7.61 eV/f.u.
E_tot: -8.907 eV per atom
DOS at the Fermi energy: 0.4104 states/eV per atom



A plane-wave DFT calculation with PBE-GGA was carried out for a relaxed TlGaHg crystal.

Unit cell a=3.2589 b=5.6578 c=8.6321 alpha=96.83 beta=93.91 gamma=91.48
Space group P1 (No. 1)
Unique sites:
Tl1 0.0000 0.0000 0.0000 [1 per cell]
Tl2 0.1045 0.6945 0.5938 [1 per cell]
Ga1 0.4414 0.4979 0.9245 [1 per cell]
Ga2 0.5806 0.0478 0.3295 [1 per cell]
Hg1 0.5603 0.5318 0.2544 [1 per cell]
Hg2 0.6302 0.1997 0.6541 [1 per cell]

E_tot: -1.823 eV per atom
DOS at the Fermi energy: 0.4374 states/eV per atom
Formation energy from the elements: 7.3 kJ/mol of atoms



A plane-wave DFT calculation with PBE-GGA was carried out for a relaxed UInPbCl6 crystal.

Unit cell a=7.5367 b=7.5367 c=12.4053 alpha=90.00 beta=90.00 gamma=120.00
Space group P-31c (No. 163)
Unique sites:
U1 0.3333 0.6667 0.2500 [2 per cell]
In1 0.3333 0.6667 0.7500 [2 per cell]
Pb1 0.0000 0.0000 0.0000 [2 per cell]
Cl1 0.0447 0.3548 0.1241 [12 per cell]

Raw formation energy: -11.66 eV/f.u.
E_tot: -4.497 eV per atom
DOS at the Fermi energy: 0.2293 states/eV per atom